ReAgAu | PBE-GGA | relaxed

```
ReAgAu
1.0
5.0428 -0.0421 0.0305
2.5410 4.3560 -0.0305
-3.2676 -3.0787 2.2972
Re Au Ag
1 1 1
Direct
0.6684 0.6684 0.0000
0.3291 0.3291 0.0000
0.0026 0.0026 0.0000
```

Calculated values
The value obtained for the energy relative to the elements is 750.3 meV per atom. The calculation puts the energy relative to the lowest polymorph listed for this composition at 320 meV per atom. The calculation puts the density of states at the Fermi level at 2.80 states/eV per cell.

=====

MnCl2 | PBE-GGA | relaxed

```
MnCl2
1.0
1.2810 0.6690 -6.7021
-4.2697 -4.8914 2.2025
-4.2243 3.4802 -0.4600
Mn Cl
3 6
Direct
0.3333 0.6667 0.0000
0.6667 0.3333 0.0000
0.0000 0.0000 0.5000
0.3151 0.0000 0.0000
0.0000 0.3151 0.0000
0.6849 0.6849 0.0000
0.6608 0.0000 0.5000
0.0000 0.6608 0.5000
0.3392 0.3392 0.5000
```

Calculated values
The calculation puts the raw formation energy at -0.86 eV per atom.

=====

Cd2CoRh2 | PBE-GGA | relaxed

```
Cd2CoRh2
1.0
-5.1189 -3.6400 -0.8750
2.9657 -3.0383 -4.7107
1.5479 -2.8534 2.8149
Co Rh Cd
2 4 4
Direct
0.0000 0.0000 0.0000
0.5000 0.5000 0.0000
0.3602 0.8602 0.0000
0.8602 0.6398 0.0000
0.6398 0.1398 0.0000
0.1398 0.3602 0.0000
0.1694 0.6694 0.5000
0.6694 0.8306 0.5000
0.8306 0.3306 0.5000
0.3306 0.1694 0.5000
```

Calculated values
The value obtained for the energy relative to the elements is 133.8 meV per atom. The calculation puts the density of states at the Fermi level at 6.78 states/eV per cell.

=====

CaInMo2 | PBE-GGA | relaxed

```
CaInMo2
1.0
9.6985 -0.0094 -0.0055
9.1501 3.2152 -0.0055
9.1501 1.5563 2.8135
Mo Ca In
2 1 1
Direct
0.9893 0.9893 0.9893
0.2651 0.2651 0.2651
0.5042 0.5042 0.5042
0.7415 0.7415 0.7415
```

Calculated values
The value obtained for the energy relative to the elements is 368.2 meV per atom. The calculation puts the density of states at the Fermi level at 3.28 states/eV per cell.

=====

ErSc2Te | PBE-GGA | relaxed

```
ErSc2Te
1.0
3.8181 -0.0003 0.0000
-1.9098 5.7750 0.0000
0.0000 0.0000 9.1427
Er Sc Te
2 4 2
Direct
0.9500 0.9000 0.2500
0.0500 0.1000 0.7500
0.3643 0.7283 0.5357
0.6357 0.2717 0.4643
0.3643 0.7283 0.9643
0.6357 0.2717 0.0357
0.7656 0.5313 0.7500
0.2344 0.4687 0.2500
```

Calculated values
The calculation puts the energy relative to the lowest polymorph listed for this composition at 0 meV per atom. The calculation puts the raw formation energy at -0.63 eV per atom. The calculation puts the density of states at the Fermi level at 9.73 states/eV per cell.

=====

La2TcSe | PBE-GGA | relaxed

```
La2TcSe
1.0
3.3468 -0.0011 0.0000
0.0010 3.3468 0.0000
0.0000 0.0000 9.0227
La Se Tc
2 1 1
Direct
0.0000 0.0000 0.9311
0.5000 0.5000 0.3163
0.0000 0.0000 0.5626
0.5000 0.5000 0.6900
```

Calculated values
The calculation puts the raw formation energy at -0.15 eV per atom. The calculation puts the density of states at the Fermi level at 5.16 states/eV per cell.

=====

Nd4GaSe3 | PBE-GGA | relaxed

```
Nd4GaSe3
1.0
-2.4168 -0.7511 5.4533
0.6803 -5.9508 -0.5182
5.4625 0.4088 2.4773
Nd Se Ga
4 3 1
Direct
0.5000 0.0000 0.0000
0.0000 0.5000 0.0000
0.0000 0.0000 0.5000
0.5000 0.5000 0.5000
0.0000 0.5000 0.5000
0.5000 0.0000 0.5000
0.5000 0.5000 0.0000
0.0000 0.0000 0.0000
```

Calculated values
The calculation puts the raw formation energy at -1.58 eV per atom. The calculation puts the density of states at the Fermi level at 3.17 states/eV per cell.

=====

NaPb2Au2 | PBE-GGA | relaxed

```
NaPb2Au2
1.0
8.6087 0.0000 0.0000
0.0000 8.6087 0.0000
0.0000 0.0000 3.4657
Pb Na Au
4 2 4
Direct
0.3601 0.8601 0.0000
0.8601 0.6399 0.0000
0.6399 0.1399 0.0000
0.1399 0.3601 0.0000
0.0000 0.0000 0.0000
0.5000 0.5000 0.0000
0.1584 0.6584 0.5000
0.6584 0.8416 0.5000
0.8416 0.3416 0.5000
0.3416 0.1584 0.5000
```

Calculated values
The value obtained for the energy relative to the elements is -109.4 meV per atom. The calculation puts the energy relative to the lowest polymorph listed for this composition at 65 meV per atom. The calculation puts the density of states at the Fermi level at 1.94 states/eV per cell.

=====

CdPtO2F | PBE-GGA | relaxed

```
CdPtO2F
1.0
4.2486 0.0000 0.0000
0.0000 4.2486 0.0000
0.0000 0.0000 4.1755
F O Pt Cd
1 2 1 1
Direct
0.0000 0.0000 0.5000
0.0000 0.5000 0.0000
0.5000 0.0000 0.0000
0.5000 0.5000 0.5000
0.0000 0.0000 0.0000
```

Calculated values
The calculation puts the raw formation energy at 0.33 eV per atom. The calculation puts the density of states at the Fermi level at 4.70 states/eV per cell.

=====

LiYZr | PBE-GGA | relaxed

```
LiYZr
1.0
-1.4734 -8.6690 -5.2509
1.0351 -5.0252 1.0483
-3.0577 2.7921 3.2059
Y Zr Li
2 2 2
Direct
0.6318 0.5712 0.4288
0.3663 0.1410 0.8590
0.3662 0.4733 0.5267
0.1508 0.9988 0.0012
0.8838 0.6524 0.3476
0.8860 0.9612 0.0388
```

Calculated values
The value obtained for the energy relative to the elements is 201.7 meV per atom. The calculation puts the energy relative to the lowest polymorph listed for this composition at 134 meV per atom. The calculation puts the density of states at the Fermi level at 2.54 states/eV per cell.

=====

RbAcSeBr | PBE-GGA | relaxed

```
RbAcSeBr
1.0
4.4312 -0.0010 -0.0002
-2.2155 3.8386 0.0001
-2.2143 -1.2787 8.6668
Rb Ac Se Br
1 1 1 1
Direct
0.4861 0.1410 0.6424
0.1215 0.9587 0.0954
0.3202 0.5580 0.8935
0.9501 0.3731 0.3383
```

Calculated values
The calculation puts the raw formation energy at -1.54 eV per atom. The calculation puts the density of states at the Fermi level at 2.75 states/eV per cell.

=====

CeNd2Mg | PBE-GGA | relaxed

```
CeNd2Mg
1.0
3.3657 0.0000 0.0000
1.6828 2.9148 0.0000
1.6828 0.9716 12.4132
Mg Nd Ce
1 2 1
Direct
0.5000 0.5000 0.5000
0.0885 0.0885 0.7345
0.9115 0.9115 0.2655
0.0000 0.0000 0.0000
```

Calculated values
The value obtained for the energy relative to the elements is 207.1 meV per atom. The calculation puts the energy relative to the lowest polymorph listed for this composition at 211 meV per atom. The calculation puts the density of states at the Fermi level at 6.76 states/eV per cell.

=====

FeTc6 | PBE-GGA | relaxed

```
FeTc6
1.0
6.6325 0.0000 0.0000
0.0000 12.1220 0.0000
0.0000 0.0000 5.2811
Fe Tc
4 24
Direct
0.0817 0.2500 0.7434
0.9183 0.7500 0.2566
0.5817 0.7500 0.7566
0.4183 0.2500 0.2434
0.7792 0.2500 0.4886
0.2208 0.7500 0.5114
0.2792 0.7500 0.0114
0.7208 0.2500 0.9886
0.4275 0.2500 0.6917
0.5725 0.7500 0.3083
0.9275 0.7500 0.8083
0.0725 0.2500 0.1917
0.1644 0.4184 0.4503
0.8356 0.5816 0.5497
0.6644 0.5816 0.0497
0.8356 0.9184 0.5497
0.3356 0.4184 0.9503
0.1644 0.0816 0.4503
0.3356 0.0816 0.9503
0.6644 0.9184 0.0497
0.9234 0.4274 0.8592
0.0766 0.5726 0.1408
0.4234 0.5726 0.6408
0.0766 0.9274 0.1408
0.5766 0.4274 0.3592
0.9234 0.0726 0.8592
0.5766 0.0726 0.3592
0.4234 0.9274 0.6408
```

Calculated values
The value obtained for the energy relative to the elements is 423.0 meV per atom. The calculation puts the density of states at the Fermi level at 27.17 states/eV per cell.

=====

Ta3Nb8Rh | PBE-GGA | relaxed

```
Ta3Nb8Rh
1.0
-3.3862 2.7366 3.2538
-1.6647 -4.5677 -2.4305
2.7956 -4.6462 6.8170
Ta Nb Rh
3 8 1
Direct
0.0000 0.0000 0.5000
0.6667 0.3333 0.4411
0.3333 0.6667 0.5589
0.3333 0.6667 0.9425
0.1704 0.3405 0.2466
0.6595 0.8298 0.2466
0.6667 0.3333 0.0575
0.3405 0.1702 0.7534
0.8296 0.6595 0.7534
0.8298 0.1704 0.7534
0.1702 0.8296 0.2466
0.0000 0.0000 0.0000
```

Calculated values
The value obtained for the energy relative to the elements is 33.2 meV per atom. The calculation puts the density of states at the Fermi level at 10.70 states/eV per cell.

=====

Li2Pm3DyTe6 | PBE-GGA | relaxed

```
Li2Pm3DyTe6
1.0
4.3880 0.0000 0.0000
0.0000 8.8027 0.3085
-2.1940 -2.5360 9.2321
Li Pm Dy Te
2 3 1 6
Direct
0.8243 0.6464 0.6486
0.1757 0.3535 0.3514
0.5000 0.5000 0.0000
0.8341 0.1650 0.6683
0.1659 0.8350 0.3317
0.5000 0.0000 0.0000
0.3353 0.9033 0.6706
0.6687 0.5781 0.3373
0.6647 0.0967 0.3294
0.0058 0.2470 0.0117
0.9942 0.7530 0.9883
0.3313 0.4219 0.6627
```

Calculated values
The calculation puts the raw formation energy at -1.34 eV per atom. The calculation puts the density of states at the Fermi level at 4.05 states/eV per cell.

=====

CaGaI4 | PBE-GGA | relaxed

```
CaGaI4
1.0
4.3239 0.0000 0.0000
0.0000 7.7239 0.0833
0.0000 -0.0111 15.2833
Ca Ga I
2 2 8
Direct
0.0000 0.0000 0.5000
0.5000 0.5000 0.0000
0.5000 0.5000 0.5000
0.0000 0.0000 0.0000
0.5000 0.1821 0.3842
0.0000 0.3180 0.1159
0.5000 0.8179 0.6158
0.0000 0.6820 0.8841
0.9999 0.6620 0.3867
0.4999 0.8379 0.1133
0.0001 0.3380 0.6133
0.5001 0.1621 0.8867
```

Calculated values
The calculation puts the raw formation energy at -0.94 eV per atom. The calculation puts the density of states at the Fermi level at 7.44 states/eV per cell.

=====

PRhW | PBE-GGA | relaxed

```
PRhW
1.0
-2.4208 -2.3714 2.3832
-1.5418 1.5093 3.5367
-4.0481 0.8248 0.3097
P Rh W
1 1 1
Direct
0.0000 0.0000 0.0000
0.5000 0.5000 0.5000
0.2500 0.2500 0.2500
```

Calculated values
The value obtained for the energy relative to the elements is 90.4 meV per atom. The calculation puts the density of states at the Fermi level at 2.59 states/eV per cell.

=====

Na3PmNd2S6 | PBE-GGA | relaxed

```
Na3PmNd2S6
1.0
-1.3451 -6.9438 -0.9794
6.3083 2.7220 -1.9446
0.7950 0.0752 7.0564
Na Pm Nd S
3 1 2 6
Direct
0.1667 0.8333 0.5000
0.8333 0.1667 0.5000
0.5000 0.5000 0.5000
0.0000 0.0000 0.0000
0.3333 0.6667 0.0000
0.6667 0.3333 0.0000
0.9223 0.5907 0.7670
0.7461 0.7461 0.2328
0.0777 0.4093 0.2330
0.5907 0.9223 0.7670
0.2539 0.2539 0.7672
0.4093 0.0777 0.2330
```

Calculated values
The calculation puts the raw formation energy at -1.80 eV per atom. The calculation puts the density of states at the Fermi level at 0.00 states/eV per cell.

=====

Sm2NiSn4Pd3 | PBE-GGA | relaxed

```
Sm2NiSn4Pd3
1.0
-0.9724 4.0606 1.6711
-3.9858 -1.5344 1.4092
4.4542 -2.8439 9.5020
Sm Ni Sn Pd
2 1 4 3
Direct
0.5000 0.0000 0.2674
0.0000 0.5000 0.7326
0.5000 0.5000 0.5000
0.5000 0.5000 0.0000
0.0000 0.0000 0.0000
0.5000 0.0000 0.6227
0.0000 0.5000 0.3773
0.0000 0.0000 0.5000
0.5000 0.0000 0.8618
0.0000 0.5000 0.1382
```

Calculated values
The value obtained for the energy relative to the elements is -673.1 meV per atom. The calculation puts the density of states at the Fermi level at 5.40 states/eV per cell.

=====

TaZnIr2 | PBE-GGA | relaxed

```
TaZnIr2
1.0
4.1068 0.0000 0.0000
0.0000 4.1084 0.0000
0.0000 0.0000 3.6111
Ir Ta Zn
2 1 1
Direct
0.0000 0.0000 0.0000
0.5000 0.5000 0.0000
0.5000 0.0000 0.5000
0.0000 0.5000 0.5000
```

Calculated values
The value obtained for the energy relative to the elements is -403.4 meV per atom. The calculation puts the density of states at the Fermi level at 1.15 states/eV per cell.

=====

Pa3Ni8Pt | PBE-GGA | relaxed

```
Pa3Ni8Pt
1.0
-2.5017 -2.8155 -3.2061
-1.4860 -4.5289 1.3213
-8.4433 0.6992 2.1589
Pa Ni Pt
3 8 1
Direct
0.3774 0.3774 0.8677
0.9908 0.9908 0.0275
0.5078 0.5078 0.4766
0.9405 0.4364 0.1866
0.4385 0.9377 0.6861
0.4364 0.4364 0.1866
0.9377 0.9377 0.6861
0.1874 0.1874 0.4378
0.6882 0.6882 0.9353
0.4364 0.9405 0.1866
0.9377 0.4385 0.6861
0.8711 0.8711 0.3868
```

Calculated values
The value obtained for the energy relative to the elements is -498.3 meV per atom. The calculation puts the density of states at the Fermi level at 12.54 states/eV per cell.

=====

LiLa2IrPt | PBE-GGA | relaxed

```
LiLa2IrPt
1.0
4.1671 0.0000 0.0000
0.0000 4.1671 0.0000
0.0000 0.0000 13.7806
Li La Ir Pt
2 4 2 2
Direct
0.0000 0.0000 0.5000
0.5000 0.5000 0.5000
0.0000 0.5000 0.6914
0.0000 0.5000 0.1113
0.5000 0.0000 0.8887
0.5000 0.0000 0.3086
0.5000 0.0000 0.1099
0.0000 0.5000 0.8901
0.5000 0.0000 0.6351
0.0000 0.5000 0.3649
```

Calculated values
The value obtained for the energy relative to the elements is -777.5 meV per atom. The calculation puts the energy relative to the lowest polymorph listed for this composition at 0 meV per atom. The calculation puts the density of states at the Fermi level at 4.62 states/eV per cell.

=====

B3SO | PBE-GGA | relaxed

```
B3SO
1.0
-2.2431 -2.8282 1.0482
1.4973 0.0899 3.4466
-2.6183 2.4743 1.0729
S B O
1 3 1
Direct
0.0000 0.0000 0.0000
0.0000 0.5000 0.0000
0.0000 0.0000 0.5000
0.5000 0.0000 0.0000
0.5000 0.5000 0.5000
```

Calculated values
The calculation puts the energy relative to the lowest polymorph listed for this composition at 27 meV per atom. The calculation puts the raw formation energy at 1.94 eV per atom. The calculation puts the density of states at the Fermi level at 1.69 states/eV per cell.

=====

LiPuGe | PBE-GGA | relaxed

```
LiPuGe
1.0
3.2626 0.0000 0.0000
0.0000 3.2626 0.0000
-1.6313 -1.6313 5.6788
Ge Pu Li
1 1 1
Direct
0.2602 0.2602 0.5204
0.9416 0.9416 0.8833
0.6482 0.6482 0.2964
```

Calculated values
The value obtained for the energy relative to the elements is -152.4 meV per atom. The calculation puts the density of states at the Fermi level at 5.91 states/eV per cell.